Below is a relaxed BaCoO3 crystal, with properties calculated at the PBE with a Hubbard U level.

Properties
The calculation puts the total DFT energy (no corrections) at -20.63 eV for the cell shown. Its space group is Pm-3m, No. 221. As for the magnetization: 2.9 μB/f.u. As for the density of states at the Fermi level: 4.316 states/eV per cell. The value obtained for the volume is 18.509 Å³/atom.

a b c (Å): 4.523 4.523 4.523
angles (deg): 90.00 90.00 90.00
Positions (direct):
Ba: 0.000 0.000 0.000
Co: 0.500 0.500 0.500
O: 0.000 0.000 0.500
O: 0.000 0.500 0.000
O: 0.500 0.000 0.000